# KLiZnO2 | Alexandria | PBEsol | optimized geometry
# V	253.4	Å³/cell
# uncorrected formation energy	-1.556	eV per atom
# density	3.76	g/cm3
# DFT total energy	-4.593	eV per atom
data_KLiZnO2
_chemical_formula_sum 'K4 Li4 Zn4 O8'
_cell_length_a 10.770
_cell_length_b 3.330
_cell_length_c 8.174
_cell_angle_alpha 90.00
_cell_angle_beta 120.19
_cell_angle_gamma 90.00
_symmetry_space_group_name_H-M 'C 1 2/m 1'
_symmetry_Int_Tables_number 12
_symmetry_space_group_name_Hall '-C 2y'
loop_
_atom_site_label
_atom_site_type_symbol
_atom_site_fract_x
_atom_site_fract_y
_atom_site_fract_z
K1 K 0.164 0.000 0.130
Li1 Li 0.158 0.500 0.444
Zn1 Zn 0.045 0.000 0.683
O1 O 0.038 0.500 0.807
O2 O 0.163 0.000 0.563